i | The following is a PBE calculation of an optimized crystal structure of RbSr2Au, from the Alexandria database.

Cell: 3.995 3.995 11.229 Å, 90.00 90.00 90.00°
Sites, in units of the cell vectors:
Rb (0.000, 0.000, 0.000)
Sr (0.500, 0.500, 0.340)
Sr (0.500, 0.500, 0.660)
Au (0.000, 0.000, 0.500)

## Properties
The space group is P4/mmm. The total magnetization is 0.00 μB/cell.

***

ii | The following is a PBE calculation of an optimized crystal structure of RbSr2Au, from the Alexandria database.

Cell: 8.424 8.424 8.424 Å, 90.00 90.00 90.00°
Sites, in units of the cell vectors:
Rb (0.000, 0.000, 0.000)
Rb (0.000, 0.500, 0.500)
Rb (0.500, 0.000, 0.500)
Rb (0.500, 0.500, 0.000)
Sr (0.250, 0.250, 0.250)
Sr (0.250, 0.250, 0.750)
Sr (0.250, 0.750, 0.250)
Sr (0.250, 0.750, 0.750)
Sr (0.750, 0.250, 0.250)
Sr (0.750, 0.250, 0.750)
Sr (0.750, 0.750, 0.250)
Sr (0.750, 0.750, 0.750)
Au (0.000, 0.000, 0.500)
Au (0.000, 0.500, 0.000)
Au (0.500, 0.000, 0.000)
Au (0.500, 0.500, 0.500)

## Properties
The space group is Fm-3m. The total magnetization is 0.00 μB/cell.

***

iii | The following is a PBE calculation of an optimized crystal structure of RbSr2Au, from the Alexandria database.

Cell: 10.343 10.343 7.607 Å, 90.00 90.00 90.00°
Sites, in units of the cell vectors:
Rb (0.000, 0.000, 0.000)
Rb (0.000, 0.500, 0.250)
Rb (0.500, 0.000, 0.750)
Rb (0.500, 0.500, 0.500)
Sr (0.140, 0.750, 0.625)
Sr (0.250, 0.140, 0.375)
Sr (0.250, 0.360, 0.875)
Sr (0.360, 0.750, 0.125)
Sr (0.640, 0.250, 0.125)
Sr (0.750, 0.640, 0.875)
Sr (0.750, 0.860, 0.375)
Sr (0.860, 0.250, 0.625)
Au (0.000, 0.000, 0.500)
Au (0.000, 0.500, 0.750)
Au (0.500, 0.000, 0.250)
Au (0.500, 0.500, 0.000)

## Properties
The space group is I-42d. The total magnetization is 0.00 μB/cell.

***

iv | The following is a PBE calculation of an optimized crystal structure of RbSr2Au, from the Alexandria database.

Cell: 4.634 4.634 33.327 Å, 90.00 90.00 120.00°
Sites, in units of the cell vectors:
Rb (0.000, 0.000, 0.000)
Rb (0.333, 0.667, 0.667)
Rb (0.667, 0.333, 0.333)
Sr (0.000, 0.000, 0.217)
Sr (0.000, 0.000, 0.451)
Sr (0.333, 0.667, 0.118)
Sr (0.333, 0.667, 0.884)
Sr (0.667, 0.333, 0.550)
Sr (0.667, 0.333, 0.784)
Au (0.000, 0.000, 0.834)
Au (0.333, 0.667, 0.501)
Au (0.667, 0.333, 0.167)

## Properties
The space group is R3m. The total magnetization is 0.00 μB/cell.

***

Here are the energies relative to the best structure, in eV/atom: i 0.055; ii 0.368; iii 0.196; iv 0.000.

***

i | The following is a PBE calculation of an optimized crystal structure of RbTaAu2, from the Alexandria database.

Cell: 7.190 7.190 7.190 Å, 90.00 90.00 90.00°
Sites, in units of the cell vectors:
Rb (0.000, 0.000, 0.000)
Rb (0.000, 0.500, 0.500)
Rb (0.500, 0.000, 0.500)
Rb (0.500, 0.500, 0.000)
Ta (0.000, 0.000, 0.500)
Ta (0.000, 0.500, 0.000)
Ta (0.500, 0.000, 0.000)
Ta (0.500, 0.500, 0.500)
Au (0.250, 0.250, 0.250)
Au (0.250, 0.250, 0.750)
Au (0.250, 0.750, 0.250)
Au (0.250, 0.750, 0.750)
Au (0.750, 0.250, 0.250)
Au (0.750, 0.250, 0.750)
Au (0.750, 0.750, 0.250)
Au (0.750, 0.750, 0.750)

## Properties
The space group is Fm-3m. The total magnetization is 7.40 μB/cell.

***

ii | The following is a PBE calculation of an optimized crystal structure of RbTaAu2, from the Alexandria database.

Cell: 8.041 8.041 7.841 Å, 90.00 90.00 90.00°
Sites, in units of the cell vectors:
Rb (0.000, 0.000, 0.000)
Rb (0.000, 0.500, 0.250)
Rb (0.500, 0.000, 0.750)
Rb (0.500, 0.500, 0.500)
Ta (0.000, 0.000, 0.500)
Ta (0.000, 0.500, 0.750)
Ta (0.500, 0.000, 0.250)
Ta (0.500, 0.500, 0.000)
Au (0.163, 0.250, 0.625)
Au (0.250, 0.663, 0.875)
Au (0.250, 0.837, 0.375)
Au (0.337, 0.250, 0.125)
Au (0.663, 0.750, 0.125)
Au (0.750, 0.163, 0.375)
Au (0.750, 0.337, 0.875)
Au (0.837, 0.750, 0.625)

## Properties
The space group is I-42d. The total magnetization is 7.64 μB/cell.

***

Here are the energies relative to the best structure, in eV/atom: i 0.237; ii 0.000.

***

i | The following is a PBE calculation of an optimized crystal structure of RbTa2Au2, from the Alexandria database.

Cell: 5.142 5.142 9.337 Å, 90.00 90.00 90.00°
Sites, in units of the cell vectors:
Rb (0.000, 0.000, 0.000)
Rb (0.500, 0.500, 0.500)
Ta (0.000, 0.000, 0.358)
Ta (0.000, 0.000, 0.642)
Ta (0.500, 0.500, 0.142)
Ta (0.500, 0.500, 0.858)
Au (0.000, 0.500, 0.250)
Au (0.000, 0.500, 0.750)
Au (0.500, 0.000, 0.250)
Au (0.500, 0.000, 0.750)

## Properties
The space group is I4/mmm. The total magnetization is 0.00 μB/cell.

***

ii | The following is a PBE calculation of an optimized crystal structure of RbTa2Au2, from the Alexandria database.

Cell: 8.700 8.700 2.859 Å, 90.00 90.00 90.00°
Sites, in units of the cell vectors:
Rb (0.000, 0.000, 0.000)
Rb (0.500, 0.500, 0.000)
Ta (0.112, 0.388, 0.000)
Ta (0.388, 0.888, 0.000)
Ta (0.612, 0.112, 0.000)
Ta (0.888, 0.612, 0.000)
Au (0.177, 0.677, 0.500)
Au (0.323, 0.177, 0.500)
Au (0.677, 0.823, 0.500)
Au (0.823, 0.323, 0.500)

## Properties
The space group is P4/mbm. The total magnetization is 0.00 μB/cell.

***

Here are the energies relative to the best structure, in eV/atom: i 0.318; ii 0.000.

***

i | The following is a PBE calculation of an optimized crystal structure of Rb2TaAu, from the Alexandria database.

Cell: 12.576 12.576 5.260 Å, 90.00 90.00 90.00°
Sites, in units of the cell vectors:
Rb (0.096, 0.250, 0.125)
Rb (0.250, 0.596, 0.375)
Rb (0.250, 0.904, 0.875)
Rb (0.404, 0.250, 0.625)
Rb (0.596, 0.750, 0.625)
Rb (0.750, 0.096, 0.875)
Rb (0.750, 0.404, 0.375)
Rb (0.904, 0.750, 0.125)
Ta (0.000, 0.000, 0.500)
Ta (0.000, 0.500, 0.750)
Ta (0.500, 0.000, 0.250)
Ta (0.500, 0.500, 0.000)
Au (0.000, 0.000, 0.000)
Au (0.000, 0.500, 0.250)
Au (0.500, 0.000, 0.750)
Au (0.500, 0.500, 0.500)

## Properties
The space group is I-42d. The total magnetization is 14.09 μB/cell.

***

ii | The following is a PBE calculation of an optimized crystal structure of Rb2TaAu, from the Alexandria database.

Cell: 8.515 8.515 8.515 Å, 90.00 90.00 90.00°
Sites, in units of the cell vectors:
Rb (0.250, 0.250, 0.250)
Rb (0.250, 0.250, 0.750)
Rb (0.250, 0.750, 0.250)
Rb (0.250, 0.750, 0.750)
Rb (0.750, 0.250, 0.250)
Rb (0.750, 0.250, 0.750)
Rb (0.750, 0.750, 0.250)
Rb (0.750, 0.750, 0.750)
Ta (0.000, 0.000, 0.000)
Ta (0.000, 0.500, 0.500)
Ta (0.500, 0.000, 0.500)
Ta (0.500, 0.500, 0.000)
Au (0.000, 0.000, 0.500)
Au (0.000, 0.500, 0.000)
Au (0.500, 0.000, 0.000)
Au (0.500, 0.500, 0.500)

## Properties
The space group is Fm-3m. The total magnetization is 16.20 μB/cell.

***

Here are the energies relative to the best structure, in eV/atom: i 0.000; ii 0.368.

***

i | The following is a PBE calculation of an optimized crystal structure of RbTcAu2, from the Alexandria database.

Cell: 5.468 5.468 18.325 Å, 90.00 90.00 90.00°
Sites, in units of the cell vectors:
Rb (0.000, 0.250, 0.375)
Rb (0.000, 0.750, 0.625)
Rb (0.500, 0.250, 0.125)
Rb (0.500, 0.750, 0.875)
Tc (0.000, 0.250, 0.875)
Tc (0.000, 0.750, 0.125)
Tc (0.500, 0.250, 0.625)
Tc (0.500, 0.750, 0.375)
Au (0.000, 0.000, 0.000)
Au (0.000, 0.500, 0.000)
Au (0.250, 0.250, 0.750)
Au (0.250, 0.750, 0.250)
Au (0.500, 0.000, 0.500)
Au (0.500, 0.500, 0.500)
Au (0.750, 0.250, 0.750)
Au (0.750, 0.750, 0.250)

## Properties
The space group is I4_1/amd. The total magnetization is 14.60 μB/cell.

***

ii | The following is a PBE calculation of an optimized crystal structure of RbTcAu2, from the Alexandria database.

Cell: 7.235 7.235 7.235 Å, 90.00 90.00 90.00°
Sites, in units of the cell vectors:
Rb (0.000, 0.000, 0.000)
Rb (0.000, 0.500, 0.500)
Rb (0.500, 0.000, 0.500)
Rb (0.500, 0.500, 0.000)
Tc (0.000, 0.000, 0.500)
Tc (0.000, 0.500, 0.000)
Tc (0.500, 0.000, 0.000)
Tc (0.500, 0.500, 0.500)
Au (0.250, 0.250, 0.250)
Au (0.250, 0.250, 0.750)
Au (0.250, 0.750, 0.250)
Au (0.250, 0.750, 0.750)
Au (0.750, 0.250, 0.250)
Au (0.750, 0.250, 0.750)
Au (0.750, 0.750, 0.250)
Au (0.750, 0.750, 0.750)

## Properties
The space group is Fm-3m. The total magnetization is 14.74 μB/cell.

***

Here are the energies relative to the best structure, in eV/atom: i 0.000; ii 0.231.